Record 1
TiZn2CuH | PBE-GGA | relaxed

Calculated values
DFT total energy ... -0.13310 hartree per atom
N(E_F) ... 0.39 states/eV per atom
SG ... P4/mmm

Unit cell a=4.0562 b=4.0562 c=3.6911 alpha=90.00 beta=90.00 gamma=90.00
With the nearest neighbours (Å) after each atom.
Positions (direct):
Ti1 0.0000 0.0000 0.5000  2 H 1.85
Zn1 0.5000 0.0000 0.0000  2 H 2.03
Zn2 0.0000 0.5000 0.0000  2 H 2.03
Cu1 0.5000 0.5000 0.5000  8 Zn 2.74, 4 Ti 2.87
H1 0.0000 0.0000 0.0000  2 Ti 1.85, 4 Zn 2.03

***

Record 2
Ti2ZnCuH | PBE-GGA | relaxed

Calculated values
DFT total energy ... -0.18490 hartree per atom
N(E_F) ... 1.01 states/eV per atom
SG ... P4/mmm

Unit cell a=3.9354 b=3.9354 c=3.9872 alpha=90.00 beta=90.00 gamma=90.00
With the nearest neighbours (Å) after each atom.
Positions (direct):
Ti1 0.0000 0.5000 0.0000  2 H 1.97
Ti2 0.5000 0.0000 0.0000  2 H 1.97
Cu1 0.5000 0.5000 0.5000  4 Zn 2.78, 8 Ti 2.80
Zn1 0.0000 0.0000 0.5000  2 H 1.99
H1 0.0000 0.0000 0.0000  4 Ti 1.97, 2 Zn 1.99

***

Record 3
Ti2ZnCuH | PBE-GGA | relaxed

Calculated values
DFT total energy ... -0.18751 hartree per atom
N(E_F) ... 1.02 states/eV per atom
SG ... P4/mmm

Unit cell a=4.0210 b=4.0210 c=3.8054 alpha=90.00 beta=90.00 gamma=90.00
With the nearest neighbours (Å) after each atom.
Positions (direct):
Ti1 0.0000 0.5000 0.0000  2 H 2.01
Ti2 0.5000 0.0000 0.0000  2 H 2.01
Zn1 0.5000 0.5000 0.5000  8 Ti 2.77, 4 Cu 2.84
H1 0.0000 0.0000 0.0000  2 Cu 1.90, 4 Ti 2.01
Cu1 0.0000 0.0000 0.5000  2 H 1.90

***

In the order shown, the computed magnetic moment values come out to 0.0, 0.0, 0.0 μB/f.u..